DFT (PBE) results for a relaxed structure of TlCo2Sn2.

The structure in POSCAR format:
```
TlCo2Sn2
1.0
-2.152 2.152 5.409
2.152 -2.152 5.409
2.152 2.152 -5.409
Tl Co Sn
1 2 2
direct
0.000 0.000 0.000 Tl
0.391 0.391 0.000 Co
0.609 0.609 0.000 Co
0.250 0.750 0.500 Sn
0.750 0.250 0.500 Sn
```

As for the space group: No. 139. As for the energy relative to the elements: 0.34 eV per atom. Its density of states at the Fermi level is 0.841 states/eV/atom.

***

DFT (PBE) results for a relaxed structure of Sn3PtN.

The structure in POSCAR format:
```
Sn3PtN
1.0
4.638 0.000 0.000
0.000 4.638 0.000
0.000 0.000 4.638
Sn Pt N
3 1 1
direct
0.000 0.000 0.500 Sn
0.000 0.500 0.000 Sn
0.500 0.000 0.000 Sn
0.500 0.500 0.500 Pt
0.000 0.000 0.000 N
```

As for the space group: No. 221. Its density of states at the Fermi level is 0.631 states/eV/atom. The value obtained for the energy relative to the elements, uncorrected is 0.432 eV per atom.

***

DFT (PBE) results for a relaxed structure of NdRh.

The structure in POSCAR format:
```
NdRh
1.0
0.000 2.900 2.900
2.900 0.000 2.900
2.900 2.900 0.000
Nd Rh
1 1
direct
0.000 0.000 0.000 Nd
0.500 0.500 0.500 Rh
```

As for the space group: No. 225. As for the energy relative to the elements: -0.50 eV per atom. Its density of states at the Fermi level is 0.097 states/eV/atom.

***

DFT (PBE) results for a relaxed structure of LaTbHo6.

The structure in POSCAR format:
```
LaTbHo6
1.0
5.159 -3.334 0.000
5.159 3.334 0.000
-2.258 0.000 8.204
La Tb Ho
1 1 6
direct
0.000 0.000 0.000 La
0.000 0.000 0.500 Tb
0.060 0.543 0.203 Ho
0.377 0.377 0.578 Ho
0.457 0.940 0.797 Ho
0.543 0.060 0.203 Ho
0.623 0.623 0.422 Ho
0.940 0.457 0.797 Ho
```

As for the space group: No. 12. As for the energy relative to the elements: 0.37 eV per atom. Its density of states at the Fermi level is 1.454 states/eV/atom.

***

DFT (PBE) results for a relaxed structure of BaSc2Ta.

The structure in POSCAR format:
```
BaSc2Ta
1.0
5.009 -1.586 0.000
5.009 1.586 0.000
-0.595 0.000 6.951
Ba Sc Ta
1 2 1
direct
0.000 0.000 0.000 Ba
0.235 0.235 0.684 Sc
0.765 0.765 0.316 Sc
0.500 0.500 0.500 Ta
```

As for the space group: No. 12. As for the energy relative to the elements: 0.54 eV per atom. Its density of states at the Fermi level is 1.678 states/eV/atom.

***

DFT (PBE) results for a relaxed structure of KHgI2.

The structure in POSCAR format:
```
KHgI2
1.0
5.859 0.000 0.000
0.000 5.859 0.000
0.000 0.000 4.193
K Hg I
1 1 2
direct
0.000 0.000 0.000 K
0.500 0.500 0.000 Hg
0.000 0.500 0.500 I
0.500 0.000 0.500 I
```

As for the space group: No. 123. Its density of states at the Fermi level is 0.448 states/eV/atom. The value obtained for the energy relative to the elements, uncorrected is -0.653 eV per atom.

***

DFT (PBE) results for a relaxed structure of RbMoP2Ru.

The structure in POSCAR format:
```
RbMoP2Ru
1.0
4.983 0.000 0.000
0.000 4.983 0.000
0.000 0.000 4.606
Rb Mo P Ru
1 1 2 1
direct
0.000 0.000 0.000 Rb
0.500 0.500 0.500 Mo
0.000 0.500 0.000 P
0.500 0.000 0.000 P
0.000 0.000 0.500 Ru
```

As for the space group: No. 123. As for the energy relative to the elements: 3.13 eV per atom. Its density of states at the Fermi level is 2.374 states/eV/atom.

***

DFT (PBE) results for a relaxed structure of Tb2Pr3Sm6Dy.

The structure in POSCAR format:
```
Tb2Pr3Sm6Dy
1.0
3.147 -5.451 0.000
3.147 5.451 0.000
-2.103 0.000 11.859
Tb Pr Sm Dy
2 3 6 1
direct
0.167 0.833 0.000 Tb
0.833 0.167 0.000 Tb
0.000 0.000 0.500 Pr
0.333 0.667 0.500 Pr
0.667 0.333 0.500 Pr
0.085 0.418 0.754 Sm
0.249 0.249 0.246 Sm
0.418 0.085 0.754 Sm
0.582 0.915 0.246 Sm
0.751 0.751 0.754 Sm
0.915 0.582 0.246 Sm
0.500 0.500 0.000 Dy
```

As for the space group: No. 12. As for the energy relative to the elements: 0.02 eV per atom. Its density of states at the Fermi level is 1.427 states/eV/atom.